! PBE BaTmAuO3, relaxed; values from VASP
&SYSTEM
  ibrav = 0, nat = 12, ntyp = 4
/
ATOMIC_SPECIES
Ba 137.33 Ba.upf
Tm 168.93 Tm.upf
Au 196.97 Au.upf
O 16.00 O.upf
ATOMIC_POSITIONS crystal
Ba 0.1849 0.8151 0.7500
Ba 0.8151 0.1849 0.2500
Tm 0.5000 0.5000 0.0000
Tm 0.5000 0.5000 0.5000
Au 0.1121 0.8879 0.2500
Au 0.8879 0.1121 0.7500
O 0.1048 0.8952 0.0170
O 0.1048 0.8952 0.4830
O 0.4466 0.5534 0.2500
O 0.5534 0.4466 0.7500
O 0.8952 0.1048 0.5170
O 0.8952 0.1048 0.9830
CELL_PARAMETERS angstrom
1.8198 -6.8248 0.0000
1.8198 6.8248 0.0000
0.0000 0.0000 8.6631
! - DFT total energy (eV per atom) = -6.39
! - SG = Cmcm
! - crystal system = orthorhombic